Record 1
Cd2CoPbO4 PBE+U optimized geometry; theoretical density = 6.9 g cm⁻³; space-group type = I-42m (121); E = -4.80 eV/atom; crystal system = tetragonal; volume = 16.68 Å³ per atom
1.0
-2.5850 2.5850 4.9925
2.5850 -2.5850 4.9925
2.5850 2.5850 -4.9925
Cd Co Pb O
2 1 1 4
direct
0.2500 0.7500 0.5000 Cd
0.7500 0.2500 0.5000 Cd
0.0000 0.0000 0.0000 Co
0.5000 0.5000 0.0000 Pb
0.0958 0.6606 0.0000 O
0.3394 0.3394 0.4353 O
0.6606 0.0958 0.0000 O
0.9042 0.9042 0.5647 O


Record 2
Pm2CdCoO6 PBE+U optimized geometry; theoretical density = 7.3 g cm⁻³; space-group type = P2_1/c (14); E = -6.65 eV/atom; crystal system = monoclinic; volume = 12.66 Å³ per atom
1.0
5.4796 0.0000 0.0000
0.0000 5.8652 0.0000
-5.4627 0.0000 7.8755
Pm Cd Co O
4 2 2 12
direct
0.2265 0.0677 0.2476 Pm
0.2265 0.4323 0.7476 Pm
0.7735 0.5677 0.2524 Pm
0.7735 0.9323 0.7524 Pm
0.0000 0.0000 0.5000 Cd
0.0000 0.5000 0.0000 Cd
0.5000 0.0000 0.0000 Co
0.5000 0.5000 0.5000 Co
0.1663 0.1736 0.9499 O
0.1663 0.3264 0.4499 O
0.2613 0.7229 0.9312 O
0.2613 0.7771 0.4312 O
0.3900 0.0497 0.7742 O
0.3900 0.4503 0.2742 O
0.6100 0.5497 0.7258 O
0.6100 0.9503 0.2258 O
0.7387 0.2229 0.5688 O
0.7387 0.2771 0.0688 O
0.8337 0.6736 0.5501 O
0.8337 0.8264 0.0501 O


Record 3
CdCoPtO4 PBE+U optimized geometry; theoretical density = 8.0 g cm⁻³; space-group type = Imma (74); E = -5.41 eV/atom; crystal system = orthorhombic; volume = 12.78 Å³ per atom; DOS at the Fermi energy = 0.007 states/eV/atom
1.0
-3.0381 3.1773 4.6325
3.0381 -3.1773 4.6325
3.0381 3.1773 -4.6325
Cd Co Pt O
2 2 2 8
direct
0.3978 0.1478 0.2500 Cd
0.6022 0.8522 0.7500 Cd
0.0000 0.0000 0.5000 Co
0.0000 0.5000 0.0000 Co
0.0000 0.5000 0.5000 Pt
0.5000 0.5000 0.0000 Pt
0.1869 0.7202 0.4667 O
0.2407 0.2747 0.5340 O
0.2407 0.7066 0.9660 O
0.2465 0.2798 0.9667 O
0.7535 0.7202 0.0333 O
0.7593 0.2934 0.0340 O
0.7593 0.7253 0.4660 O
0.8131 0.2798 0.5333 O


Record 4
Pu2CdCoO8 PBE+U optimized geometry; theoretical density = 8.1 g cm⁻³; space-group type = Cmmm (65); E = -8.23 eV/atom; crystal system = orthorhombic; volume = 13.40 Å³ per atom; DOS at the Fermi energy = 0.299 states/eV/atom
1.0
3.3617 -3.4542 0.0000
3.3617 3.4542 0.0000
0.0000 0.0000 6.9248
Pu Cd Co O
2 1 1 8
direct
0.0000 0.0000 0.2444 Pu
0.0000 0.0000 0.7556 Pu
0.5000 0.5000 0.5000 Cd
0.5000 0.5000 0.0000 Co
0.1811 0.8189 0.5000 O
0.1964 0.8036 0.0000 O
0.2890 0.2890 0.2321 O
0.2890 0.2890 0.7679 O
0.7110 0.7110 0.2321 O
0.7110 0.7110 0.7679 O
0.8036 0.1964 0.0000 O
0.8189 0.1811 0.5000 O


Record 5
PuCdCo2O6 PBE+U optimized geometry; theoretical density = 6.0 g cm⁻³; space-group type = P4mm (99); E = -6.65 eV/atom; crystal system = tetragonal; volume = 15.71 Å³ per atom; DOS at the Fermi energy = 0.671 states/eV/atom
1.0
6.0905 0.0000 0.0000
0.0000 6.0905 0.0000
0.0000 0.0000 4.2361
Pu Cd Co O
1 1 2 6
direct
0.0000 0.0000 0.0000 Pu
0.5000 0.5000 0.8764 Cd
0.0000 0.5000 0.0774 Co
0.5000 0.0000 0.0774 Co
0.0000 0.0000 0.5035 O
0.2369 0.2369 0.0186 O
0.2369 0.7631 0.0186 O
0.5000 0.5000 0.3907 O
0.7631 0.2369 0.0186 O
0.7631 0.7631 0.0186 O


Record 6
PuCdCo2O8 PBE+U optimized geometry; theoretical density = 6.4 g cm⁻³; space-group type = I-4m2 (119); E = -6.60 eV/atom; crystal system = tetragonal; volume = 13.01 Å³ per atom; DOS at the Fermi energy = 0.180 states/eV/atom
1.0
-3.4257 3.4257 3.3267
3.4257 -3.4257 3.3267
3.4257 3.4257 -3.3267
Pu Cd Co O
1 1 2 8
direct
0.0000 0.0000 0.0000 Pu
0.7500 0.2500 0.5000 Cd
0.2500 0.7500 0.5000 Co
0.5000 0.5000 0.0000 Co
0.0533 0.3412 0.2879 O
0.0533 0.7654 0.7121 O
0.1427 0.3164 0.8263 O
0.2346 0.9467 0.2879 O
0.4901 0.3164 0.1737 O
0.6588 0.9467 0.7121 O
0.6836 0.5099 0.8263 O
0.6836 0.8573 0.1737 O


Record 7
Rb2CdCoO4 PBE+U optimized geometry; theoretical density = 3.6 g cm⁻³; space-group type = Fddd (70); E = -4.44 eV/atom; crystal system = orthorhombic; volume = 23.30 Å³ per atom
1.0
0.0000 6.2269 10.5267
2.8437 0.0000 10.5267
2.8437 6.2269 0.0000
Rb Cd Co O
4 2 2 8
direct
0.0599 0.0599 0.6901 Rb
0.3099 0.3099 0.9401 Rb
0.6901 0.6901 0.0599 Rb
0.9401 0.9401 0.3099 Rb
0.1250 0.1250 0.1250 Cd
0.8750 0.8750 0.8750 Cd
0.3750 0.3750 0.3750 Co
0.6250 0.6250 0.6250 Co
0.0445 0.6355 0.5152 O
0.3048 0.5152 0.6355 O
0.3645 0.9555 0.6952 O
0.4848 0.6952 0.9555 O
0.5152 0.3048 0.0445 O
0.6355 0.0445 0.3048 O
0.6952 0.4848 0.3645 O
0.9555 0.3645 0.4848 O


Record 8
Cd2CoReO6 PBE+U optimized geometry; theoretical density = 6.8 g cm⁻³; space-group type = P4mm (99); E = -5.90 eV/atom; crystal system = tetragonal; volume = 13.80 Å³ per atom; DOS at the Fermi energy = 0.573 states/eV/atom
1.0
5.2427 0.0000 0.0000
0.0000 5.2427 0.0000
0.0000 0.0000 5.0194
Cd Co Re O
2 1 1 6
direct
0.0000 0.5000 0.0000 Cd
0.5000 0.0000 0.0000 Cd
0.0000 0.0000 0.5406 Co
0.5000 0.5000 0.5686 Re
0.0000 0.0000 0.1810 O
0.2597 0.2597 0.6974 O
0.2597 0.7403 0.6974 O
0.5000 0.5000 0.2146 O
0.7403 0.2597 0.6974 O
0.7403 0.7403 0.6974 O


Record 9
Cd3CoRh3O8 PBE+U optimized geometry; theoretical density = 7.3 g cm⁻³; space-group type = C2/m (12); E = -5.28 eV/atom; crystal system = monoclinic; volume = 12.65 Å³ per atom; DOS at the Fermi energy = 0.342 states/eV/atom
1.0
5.3294 -3.0788 0.0000
5.3294 3.0788 0.0000
-3.5683 0.0000 5.7799
Cd Co Rh O
3 1 3 8
direct
0.0000 0.0000 0.0000 Cd
0.0000 0.5000 0.0000 Cd
0.5000 0.0000 0.0000 Cd
0.0000 0.0000 0.5000 Co
0.0000 0.5000 0.5000 Rh
0.5000 0.0000 0.5000 Rh
0.5000 0.5000 0.5000 Rh
0.2156 0.2156 0.6792 O
0.2159 0.7493 0.6799 O
0.2507 0.7841 0.3201 O
0.2702 0.2702 0.3117 O
0.7298 0.7298 0.6883 O
0.7493 0.2159 0.6799 O
0.7841 0.2507 0.3201 O
0.7844 0.7844 0.3208 O


Record 10
CdCoRhO4 PBE+U optimized geometry; theoretical density = 6.9 g cm⁻³; space-group type = Imma (74); E = -5.65 eV/atom; crystal system = orthorhombic; volume = 11.68 Å³ per atom
1.0
-2.9920 3.1409 4.3502
2.9920 -3.1409 4.3502
2.9920 3.1409 -4.3502
Cd Co Rh O
2 2 2 8
direct
0.3829 0.1329 0.2500 Cd
0.6171 0.8671 0.7500 Cd
0.0000 0.0000 0.5000 Co
0.0000 0.5000 0.0000 Co
0.0000 0.5000 0.5000 Rh
0.5000 0.5000 0.0000 Rh
0.1889 0.7368 0.4521 O
0.2153 0.2632 0.9521 O
0.2225 0.2526 0.5301 O
0.2225 0.6924 0.9699 O
0.7775 0.3076 0.0301 O
0.7775 0.7474 0.4699 O
0.7847 0.7368 0.0479 O
0.8111 0.2632 0.5479 O


Record 11
Cd2CoRuO6 PBE+U optimized geometry; theoretical density = 6.8 g cm⁻³; space-group type = P4mm (99); E = -5.24 eV/atom; crystal system = tetragonal; volume = 11.70 Å³ per atom; DOS at the Fermi energy = 0.290 states/eV/atom
1.0
5.3564 0.0000 0.0000
0.0000 5.3564 0.0000
0.0000 0.0000 4.0773
Cd Co Ru O
2 1 1 6
direct
0.0000 0.5000 0.0000 Cd
0.5000 0.0000 0.0000 Cd
0.0000 0.0000 0.5604 Co
0.5000 0.5000 0.5525 Ru
0.0000 0.0000 0.1047 O
0.2472 0.2472 0.6154 O
0.2472 0.7528 0.6154 O
0.5000 0.5000 0.0888 O
0.7528 0.2472 0.6154 O
0.7528 0.7528 0.6154 O


Record 12
CdCoS2O8 PBE+U optimized geometry; theoretical density = 4.0 g cm⁻³; space-group type = P-3m1 (164); E = -5.70 eV/atom; crystal system = trigonal; volume = 12.59 Å³ per atom; DOS at the Fermi energy = 0.456 states/eV/atom
1.0
5.1740 0.0000 0.0000
-2.5870 4.4808 0.0000
0.0000 0.0000 6.5159
Cd Co S O
1 1 2 8
direct
0.0000 0.0000 0.0000 Cd
0.0000 0.0000 0.5000 Co
0.3333 0.6667 0.2119 S
0.6667 0.3333 0.7881 S
0.1752 0.3504 0.2877 O
0.1752 0.8248 0.2877 O
0.3333 0.6667 0.9876 O
0.3504 0.1752 0.7123 O
0.6496 0.8248 0.2877 O
0.6667 0.3333 0.0124 O
0.8248 0.1752 0.7123 O
0.8248 0.6496 0.7123 O